# 1
A relaxed Zr4Pb3W2N3 crystal, computed with GGA-PBE.

Values from the calculation:
Its total energy is -407.28 eV per cell.

The structure in CIF format:
```
data_Zr4Pb3W2N3
_chemical_formula_sum 'Zr16 Pb12 W8 N12'
_space_group_name_H-M_alt 'C 1 2/c 1'
_space_group_IT_number 15
_cell_length_a 10.220
_cell_length_b 5.881
_cell_length_c 14.302
_cell_angle_alpha 90.00
_cell_angle_beta 103.58
_cell_angle_gamma 90.00
loop_
_space_group_symop_operation_xyz
'x,y,z'
'-x,-y,-z'
'-x,y,-z+1/2'
'x,-y,z+1/2'
'x+1/2,y+1/2,z'
'-x+1/2,-y+1/2,-z'
'-x+1/2,y+1/2,-z+1/2'
'x+1/2,-y+1/2,z+1/2'
loop_
_atom_site_label
_atom_site_type_symbol
_atom_site_fract_x
_atom_site_fract_y
_atom_site_fract_z
_atom_site_occupancy
Zr1 Zr 0.111 0.091 0.082 1
Zr2 Zr 0.226 0.078 0.418 1
Pb1 Pb 0.000 0.099 0.750 1
Pb2 Pb 0.159 0.424 0.251 1
W1 W 0.055 0.422 0.933 1
N1 N 0.085 0.246 0.500 1
N2 N 0.250 0.250 0.000 1
```

=====

# 2
A relaxed Tb2Sc crystal, computed with GGA-PBE.

Values from the calculation:
The energy above the most stable polymorph in this dataset comes out at 0.338 eV per atom.

The structure in CIF format:
```
data_Tb2Sc
_chemical_formula_sum 'Tb8 Sc4'
_space_group_name_H-M_alt 'F m -3 m'
_space_group_IT_number 225
_space_group_name_Hall '-F 4 2 3'
_cell_length_a 7.423
_cell_length_b 7.423
_cell_length_c 7.423
_cell_angle_alpha 90.00
_cell_angle_beta 90.00
_cell_angle_gamma 90.00
loop_
_atom_site_label
_atom_site_type_symbol
_atom_site_fract_x
_atom_site_fract_y
_atom_site_fract_z
_atom_site_occupancy
Tb1 Tb 0.250 0.250 0.250 1
Sc1 Sc 0.000 0.000 0.000 1
```